GGA-PBE LaPr3Se3O4, optimized geometry; distance to the lowest polymorph of the same formula = 3 meV per atom; density = 6.351 g/cm³
1.0
-1.225 -5.425 6.424
5.265 -3.776 -2.185
6.747 -1.028 0.419
La O Pr Se
1 4 3 3
direct
0.000 0.017 0.017
0.257 0.089 0.089
0.743 0.089 0.089
0.500 0.588 0.588
0.000 0.617 0.617
0.500 0.001 0.001
0.264 0.685 0.685
0.736 0.685 0.685
0.500 0.313 0.313
0.149 0.355 0.355
0.851 0.355 0.355